No. 1
DFT (PBE) results for an optimized crystal structure of Tm3Mg3Ga2Au.

The calculated total energy comes out at -3.616 eV per atom.

The structure belongs to space group P-62m (No. 189); the cell edges are 7.2747, 7.2747 and 4.3086 Å and the angles 90.00°, 90.00° and 120.00°. Symmetry generates all atoms from Tm at (0.0000, 0.5820, 0.0000), Mg at (0.0000, 0.2455, 0.5000), Ga at (0.3333, 0.6667, 0.5000) and Au at (0.0000, 0.0000, 0.0000).

---

No. 2
DFT (PBE) results for an optimized crystal structure of Y3Mg3Ga2Au.

The calculated total energy comes out at -4.314 eV per atom.

The structure belongs to space group P-62m (No. 189); the cell edges are 7.3873, 7.3873 and 4.3131 Å and the angles 90.00°, 90.00° and 120.00°. Symmetry generates all atoms from Y at (0.0000, 0.5828, 0.0000), Mg at (0.0000, 0.2450, 0.5000), Ga at (0.3333, 0.6667, 0.5000) and Au at (0.0000, 0.0000, 0.0000).

---

No. 3
DFT (PBE) results for an optimized crystal structure of GaMoAu.

The calculated total energy comes out at -5.201 eV per atom.

The structure belongs to space group F-43m (No. 216); the cell edges are 6.1490, 6.1490 and 6.1490 Å and the angles 90.00°, 90.00° and 90.00°. Symmetry generates all atoms from Ga at (0.0000, 0.0000, 0.0000), Mo at (0.0000, 0.0000, 0.5000) and Au at (0.2500, 0.2500, 0.2500).

---

No. 4
DFT (PBE) results for an optimized crystal structure of GaMoAu.

The calculated total energy comes out at -5.147 eV per atom.

The structure belongs to space group F-43m (No. 216); the cell edges are 6.1969, 6.1969 and 6.1969 Å and the angles 90.00°, 90.00° and 90.00°. Symmetry generates all atoms from Ga at (0.0000, 0.0000, 0.0000), Mo at (0.2500, 0.2500, 0.7500) and Au at (0.0000, 0.0000, 0.5000).

---

No. 5
DFT (PBE) results for an optimized crystal structure of GaMo2Au.

The calculated total energy comes out at -6.693 eV per atom.

The structure belongs to space group F-43m (No. 216); the cell edges are 6.3809, 6.3809 and 6.3809 Å and the angles 90.00°, 90.00° and 90.00°. Symmetry generates all atoms from Ga at (0.0000, 0.0000, 0.0000), Mo at (0.0000, 0.0000, 0.5000), Mo at (0.2500, 0.2500, 0.7500) and Au at (0.2500, 0.2500, 0.2500).

---

No. 6
DFT (PBE) results for an optimized crystal structure of Ga2MoAu.

The calculated total energy comes out at -4.674 eV per atom.

The structure belongs to space group F-43m (No. 216); the cell edges are 6.4405, 6.4405 and 6.4405 Å and the angles 90.00°, 90.00° and 90.00°. Symmetry generates all atoms from Ga at (0.0000, 0.0000, 0.0000), Ga at (0.2500, 0.2500, 0.2500), Mo at (0.0000, 0.0000, 0.5000) and Au at (0.2500, 0.2500, 0.7500).

---

No. 7
DFT (PBE) results for an optimized crystal structure of GaNiMoAu.

The calculated total energy comes out at -5.518 eV per atom.

The structure belongs to space group F-43m (No. 216); the cell edges are 6.2171, 6.2171 and 6.2171 Å and the angles 90.00°, 90.00° and 90.00°. Symmetry generates all atoms from Ga at (0.0000, 0.0000, 0.0000), Ni at (0.2500, 0.2500, 0.2500), Mo at (0.2500, 0.2500, 0.7500) and Au at (0.0000, 0.0000, 0.5000).

---

No. 8
DFT (PBE) results for an optimized crystal structure of GaAuNO.

The calculated total energy comes out at -5.087 eV per atom. For the energy above the lowest structure with this stoichiometry, the calculation gives 0 meV per atom.

The structure belongs to space group Pmc2_1 (No. 26); the cell edges are 3.2770, 6.3768 and 5.2175 Å and the angles 90.00°, 90.00° and 90.00°. Symmetry generates all atoms from Ga at (0.0000, 0.1280, 0.0000), Au at (0.5000, 0.4402, 0.5640), N at (0.5000, 0.2635, 0.8876) and O at (0.0000, 0.1377, 0.3558).